Arrangement a

Density functional theory data (PBE-GGA) for a geometry-optimized K2PbSe structure.

Unit cell a=9.758 b=9.758 c=7.593 alpha=50.01 beta=50.01 gamma=90.00
Element x y z (fractional)
1 Se 0.250 0.750 0.500
2 Se 0.500 0.500 0.000
3 K 0.875 0.810 0.750
4 K 0.375 0.440 0.750
5 K 0.560 0.125 0.250
6 K 0.190 0.625 0.250
7 Pb 0.000 0.000 0.000
8 Pb 0.750 0.250 0.500

Symmetry ... I-42d (122)

***

Arrangement b

Density functional theory data (PBE-GGA) for a geometry-optimized K2PbSe structure.

Unit cell a=5.799 b=5.799 c=5.799 alpha=60.00 beta=60.00 gamma=60.00
Each line ends with the local moment (μB).
Element x y z (fractional)
1 K 0.250 0.250 0.250  0.02
2 K 0.750 0.750 0.750  0.02
3 Pb 0.500 0.500 0.500  0.36
4 Se 0.000 0.000 0.000  0.00

Symmetry ... Fm-3m (225)

***

Arrangement c

Density functional theory data (PBE-GGA) for a geometry-optimized K2PbSe structure.

Unit cell a=7.247 b=7.247 c=7.247 alpha=147.34 beta=133.38 gamma=58.08
Element x y z (fractional)
1 Pb 0.433 0.433 0.000
2 Se 0.265 0.765 0.500
3 K 0.047 0.047 0.000
4 K 0.755 0.255 0.500

Symmetry ... Imm2 (44)

***

Of them, arrangement b has the lowest stability.

***

Arrangement a

Density functional theory data (PBE-GGA) for a geometry-optimized K2PbSe structure.

Unit cell a=6.397 b=6.397 c=6.397 alpha=135.72 beta=135.72 gamma=64.41
Element x y z (fractional)
1 Se 0.750 0.250 0.500
2 Pb 0.250 0.750 0.500
3 K 0.000 0.000 0.000
4 K 0.500 0.500 0.000

Symmetry ... I4/mmm (139)

***

Arrangement b

Density functional theory data (PBE-GGA) for a geometry-optimized K2PbSe structure.

Unit cell a=4.069 b=4.069 c=9.889 alpha=90.00 beta=90.00 gamma=90.00
Element x y z (fractional)
1 K 0.500 0.500 0.314
2 K 0.000 0.000 0.918
3 Se 0.500 0.500 0.692
4 Pb 0.000 0.000 0.575

Symmetry ... P4mm (99)

***

Of them, arrangement b has the lowest stability.

***

Arrangement a

Density functional theory data (PBE-GGA) for a geometry-optimized K2PbSe structure.

Unit cell a=6.505 b=6.505 c=6.505 alpha=135.26 beta=135.26 gamma=65.13
Element x y z (fractional)
1 K 0.250 0.750 0.500
2 K 0.000 0.000 0.000
3 Se 0.750 0.250 0.500
4 Pb 0.500 0.500 0.000

Symmetry ... I-4m2 (119)

***

Arrangement b

Density functional theory data (PBE-GGA) for a geometry-optimized K2PbSe structure.

Unit cell a=5.759 b=5.759 c=5.759 alpha=60.00 beta=60.00 gamma=60.00
Element x y z (fractional)
1 Pb 0.500 0.500 0.500
2 K 0.250 0.250 0.250
3 K 0.000 0.000 0.000
4 Se 0.750 0.750 0.750

Symmetry ... F-43m (216)

***

Arrangement c

Density functional theory data (PBE-GGA) for a geometry-optimized K2PbSe structure.

Unit cell a=4.937 b=5.060 c=6.681 alpha=67.91 beta=90.00 gamma=90.00
Element x y z (fractional)
1 Se 0.500 0.561 0.754
2 K 0.000 0.987 0.904
3 K 0.500 0.267 0.340
4 Pb 0.000 0.685 0.503

Symmetry ... Pm (6)

***

Arrangement d

Density functional theory data (PBE-GGA) for a geometry-optimized K2PbSe structure.

Unit cell a=7.910 b=5.608 c=4.447 alpha=90.00 beta=55.79 gamma=118.83
Each line ends with the local moment (μB).
Element x y z (fractional)
1 K 0.000 0.000 0.000  0.02
2 K 0.500 0.000 0.500  0.02
3 Se 0.500 0.500 0.000  0.02
4 Pb 0.000 0.500 0.500  0.22

Symmetry ... Cmmm (65)

***

Of them, arrangement b has the lowest stability.

***

Arrangement a

Density functional theory data (PBE-GGA) for a geometry-optimized KPbSe structure.

Unit cell a=6.855 b=6.855 c=3.980 alpha=73.13 beta=73.12 gamma=33.75
Element x y z (fractional)
1 Se 0.697 0.697 0.303
2 Pb 0.291 0.291 0.709
3 K 0.012 0.012 0.988

Symmetry ... I4mm (107)

***

Arrangement b

Density functional theory data (PBE-GGA) for a geometry-optimized KPbSe structure.

Unit cell a=7.693 b=7.693 c=7.693 alpha=145.76 beta=147.32 gamma=48.05
Element x y z (fractional)
1 Pb 0.364 0.364 0.000
2 Se 0.548 0.548 0.000
3 K 0.088 0.088 0.000

Symmetry ... Imm2 (44)

***

Of them, arrangement b has the lowest stability.